[1]
# ZrAl2Cu, relaxed, DFT PBE-GGA
data_ZrAl2Cu
_symmetry_space_group_name_H-M 'P 1'
_symmetry_Int_Tables_number 1
_cell_length_a 6.415
_cell_length_b 6.415
_cell_length_c 6.415
_cell_angle_alpha 90.00
_cell_angle_beta 90.00
_cell_angle_gamma 90.00
loop_
_symmetry_equiv_pos_as_xyz
'x,y,z'
loop_
_atom_site_label
_atom_site_fract_x
_atom_site_fract_y
_atom_site_fract_z
Zr1 0.000 0.000 0.000
Zr2 0.000 0.500 0.500
Zr3 0.500 0.000 0.500
Zr4 0.500 0.500 0.000
Al1 0.000 0.000 0.500
Al2 0.000 0.500 0.000
Al3 0.250 0.250 0.750
Al4 0.250 0.750 0.250
Al5 0.500 0.000 0.000
Al6 0.500 0.500 0.500
Al7 0.750 0.250 0.250
Al8 0.750 0.750 0.750
Cu1 0.250 0.250 0.250
Cu2 0.250 0.750 0.750
Cu3 0.750 0.250 0.750
Cu4 0.750 0.750 0.250
# Final energy ... -5.056 eV/atom



[2]
# Ba2ZnCu, relaxed, DFT PBE-GGA
data_Ba2ZnCu
_symmetry_space_group_name_H-M 'P 1'
_symmetry_Int_Tables_number 1
_cell_length_a 4.584
_cell_length_b 4.584
_cell_length_c 16.704
_cell_angle_alpha 90.00
_cell_angle_beta 90.00
_cell_angle_gamma 120.00
loop_
_symmetry_equiv_pos_as_xyz
'x,y,z'
loop_
_atom_site_label
_atom_site_fract_x
_atom_site_fract_y
_atom_site_fract_z
Ba1 0.333 0.667 0.123
Ba2 0.333 0.667 0.377
Ba3 0.667 0.333 0.623
Ba4 0.667 0.333 0.877
Zn1 0.333 0.667 0.750
Zn2 0.667 0.333 0.250
Cu1 0.000 0.000 0.250
Cu2 0.000 0.000 0.750
# Final energy ... -2.341 eV/atom



[3]
# ScZnInTe3, relaxed, DFT PBE-GGA
data_ScZnInTe3
_symmetry_space_group_name_H-M 'P 1'
_symmetry_Int_Tables_number 1
_cell_length_a 10.317
_cell_length_b 4.306
_cell_length_c 16.194
_cell_angle_alpha 90.00
_cell_angle_beta 90.00
_cell_angle_gamma 90.00
loop_
_symmetry_equiv_pos_as_xyz
'x,y,z'
loop_
_atom_site_label
_atom_site_fract_x
_atom_site_fract_y
_atom_site_fract_z
Sc1 0.175 0.250 0.043
Sc2 0.325 0.750 0.543
Sc3 0.675 0.250 0.457
Sc4 0.825 0.750 0.957
Zn1 0.174 0.750 0.853
Zn2 0.326 0.250 0.353
Zn3 0.674 0.750 0.647
Zn4 0.826 0.250 0.147
In1 0.056 0.750 0.307
In2 0.444 0.250 0.807
In3 0.556 0.750 0.193
In4 0.944 0.250 0.693
Te1 0.004 0.250 0.893
Te2 0.164 0.250 0.476
Te3 0.177 0.750 0.693
Te4 0.323 0.250 0.193
Te5 0.336 0.750 0.976
Te6 0.496 0.750 0.393
Te7 0.504 0.250 0.607
Te8 0.664 0.250 0.024
Te9 0.677 0.750 0.807
Te10 0.823 0.250 0.307
Te11 0.836 0.750 0.524
Te12 0.996 0.750 0.107
# Energy above the lowest structure with this stoichiometry ... 82 meV per atom
# Final energy ... -3.906 eV/atom



[4]
# Li2Si4Tc, relaxed, DFT PBE-GGA
data_Li2Si4Tc
_symmetry_space_group_name_H-M 'P 1'
_symmetry_Int_Tables_number 1
_cell_length_a 5.088
_cell_length_b 5.088
_cell_length_c 3.777
_cell_angle_alpha 90.00
_cell_angle_beta 90.00
_cell_angle_gamma 90.00
loop_
_symmetry_equiv_pos_as_xyz
'x,y,z'
loop_
_atom_site_label
_atom_site_fract_x
_atom_site_fract_y
_atom_site_fract_z
Li1 0.000 0.500 0.000
Li2 0.500 0.000 0.000
Si1 0.248 0.248 0.500
Si2 0.248 0.752 0.500
Si3 0.752 0.248 0.500
Si4 0.752 0.752 0.500
Tc1 0.500 0.500 0.000
# Final energy ... -5.311 eV/atom



[5]
# ZnF2, relaxed, DFT PBE-GGA
data_ZnF2
_symmetry_space_group_name_H-M 'P 1'
_symmetry_Int_Tables_number 1
_cell_length_a 4.695
_cell_length_b 5.281
_cell_length_c 5.431
_cell_angle_alpha 90.00
_cell_angle_beta 90.00
_cell_angle_gamma 90.00
loop_
_symmetry_equiv_pos_as_xyz
'x,y,z'
loop_
_atom_site_label
_atom_site_fract_x
_atom_site_fract_y
_atom_site_fract_z
Zn1 0.000 0.000 0.250
Zn2 0.000 0.000 0.750
Zn3 0.500 0.500 0.250
Zn4 0.500 0.500 0.750
F1 0.249 0.348 0.000
F2 0.249 0.652 0.500
F3 0.251 0.152 0.500
F4 0.251 0.848 0.000
F5 0.749 0.152 0.000
F6 0.749 0.848 0.500
F7 0.751 0.348 0.500
F8 0.751 0.652 0.000
# Final energy ... -3.738 eV/atom



[6]
# LiNiPdPb, relaxed, DFT PBE-GGA
data_LiNiPdPb
_symmetry_space_group_name_H-M 'P 1'
_symmetry_Int_Tables_number 1
_cell_length_a 6.328
_cell_length_b 6.328
_cell_length_c 6.328
_cell_angle_alpha 90.00
_cell_angle_beta 90.00
_cell_angle_gamma 90.00
loop_
_symmetry_equiv_pos_as_xyz
'x,y,z'
loop_
_atom_site_label
_atom_site_fract_x
_atom_site_fract_y
_atom_site_fract_z
Li1 0.000 0.000 0.000
Li2 0.000 0.500 0.500
Li3 0.500 0.000 0.500
Li4 0.500 0.500 0.000
Ni1 0.250 0.250 0.750
Ni2 0.250 0.750 0.250
Ni3 0.750 0.250 0.250
Ni4 0.750 0.750 0.750
Pd1 0.250 0.250 0.250
Pd2 0.250 0.750 0.750
Pd3 0.750 0.250 0.750
Pd4 0.750 0.750 0.250
Pb1 0.000 0.000 0.500
Pb2 0.000 0.500 0.000
Pb3 0.500 0.000 0.000
Pb4 0.500 0.500 0.500
# Energy above the lowest structure with this stoichiometry ... 14 meV per atom
# Final energy ... -4.283 eV/atom



[7]
# NdEr2Al7Ag2, relaxed, DFT PBE-GGA
data_NdEr2Al7Ag2
_symmetry_space_group_name_H-M 'P 1'
_symmetry_Int_Tables_number 1
_cell_length_a 9.365
_cell_length_b 9.365
_cell_length_c 9.365
_cell_angle_alpha 34.60
_cell_angle_beta 34.60
_cell_angle_gamma 34.60
loop_
_symmetry_equiv_pos_as_xyz
'x,y,z'
loop_
_atom_site_label
_atom_site_fract_x
_atom_site_fract_y
_atom_site_fract_z
Nd1 0.000 0.000 0.000
Er1 0.142 0.142 0.142
Er2 0.858 0.858 0.858
Al1 0.076 0.589 0.589
Al2 0.411 0.411 0.924
Al3 0.411 0.924 0.411
Al4 0.500 0.500 0.500
Al5 0.589 0.076 0.589
Al6 0.589 0.589 0.076
Al7 0.924 0.411 0.411
Ag1 0.336 0.336 0.336
Ag2 0.664 0.664 0.664
# Final energy ... -4.281 eV/atom



[8]
# CsAgTe3Ir, relaxed, DFT PBE-GGA
data_CsAgTe3Ir
_symmetry_space_group_name_H-M 'P 1'
_symmetry_Int_Tables_number 1
_cell_length_a 9.251
_cell_length_b 4.146
_cell_length_c 10.940
_cell_angle_alpha 90.00
_cell_angle_beta 113.23
_cell_angle_gamma 90.00
loop_
_symmetry_equiv_pos_as_xyz
'x,y,z'
loop_
_atom_site_label
_atom_site_fract_x
_atom_site_fract_y
_atom_site_fract_z
Cs1 0.243 0.250 0.281
Cs2 0.757 0.750 0.719
Ag1 0.054 0.250 0.598
Ag2 0.946 0.750 0.402
Te1 0.145 0.250 0.873
Te2 0.267 0.750 0.593
Te3 0.476 0.750 0.121
Te4 0.524 0.250 0.879
Te5 0.733 0.250 0.407
Te6 0.855 0.750 0.127
Ir1 0.329 0.750 0.857
Ir2 0.671 0.250 0.143
# Energy above the lowest structure with this stoichiometry ... 0 meV per atom
# Final energy ... -4.044 eV/atom



[9]
# CsCo, relaxed, DFT PBE-GGA
data_CsCo
_symmetry_space_group_name_H-M 'P 1'
_symmetry_Int_Tables_number 1
_cell_length_a 7.649
_cell_length_b 7.649
_cell_length_c 7.649
_cell_angle_alpha 90.00
_cell_angle_beta 90.00
_cell_angle_gamma 90.00
loop_
_symmetry_equiv_pos_as_xyz
'x,y,z'
loop_
_atom_site_label
_atom_site_fract_x
_atom_site_fract_y
_atom_site_fract_z
Cs1 0.000 0.000 0.000
Cs2 0.000 0.500 0.500
Cs3 0.500 0.000 0.500
Cs4 0.500 0.500 0.000
Co1 0.000 0.000 0.500
Co2 0.000 0.500 0.000
Co3 0.500 0.000 0.000
Co4 0.500 0.500 0.500
# Energy above the lowest structure with this stoichiometry ... 0 meV per atom
# Final energy ... -2.478 eV/atom



[10]
# Dy2Y2B3, relaxed, DFT PBE-GGA
data_Dy2Y2B3
_symmetry_space_group_name_H-M 'P 1'
_symmetry_Int_Tables_number 1
_cell_length_a 3.412
_cell_length_b 20.099
_cell_length_c 5.130
_cell_angle_alpha 90.00
_cell_angle_beta 90.00
_cell_angle_gamma 90.00
loop_
_symmetry_equiv_pos_as_xyz
'x,y,z'
loop_
_atom_site_label
_atom_site_fract_x
_atom_site_fract_y
_atom_site_fract_z
Dy1 0.000 0.127 0.000
Dy2 0.000 0.873 0.000
Dy3 0.500 0.373 0.000
Dy4 0.500 0.627 0.000
Y1 0.000 0.316 0.500
Y2 0.000 0.684 0.500
Y3 0.500 0.184 0.500
Y4 0.500 0.816 0.500
B1 0.000 0.000 0.000
B2 0.000 0.261 0.000
B3 0.000 0.739 0.000
B4 0.500 0.239 0.000
B5 0.500 0.500 0.000
B6 0.500 0.761 0.000
# Final energy ... -5.273 eV/atom



[11]
# LiSmPbS3, relaxed, DFT PBE-GGA
data_LiSmPbS3
_symmetry_space_group_name_H-M 'P 1'
_symmetry_Int_Tables_number 1
_cell_length_a 8.816
_cell_length_b 8.816
_cell_length_c 8.391
_cell_angle_alpha 103.86
_cell_angle_beta 103.86
_cell_angle_gamma 26.18
loop_
_symmetry_equiv_pos_as_xyz
'x,y,z'
loop_
_atom_site_label
_atom_site_fract_x
_atom_site_fract_y
_atom_site_fract_z
Li1 0.001 0.001 0.197
Li2 0.999 0.999 0.803
Sm1 0.334 0.334 0.907
Sm2 0.666 0.666 0.093
Pb1 0.368 0.368 0.435
Pb2 0.632 0.632 0.565
S1 0.000 0.000 0.500
S2 0.166 0.166 0.858
S3 0.172 0.172 0.322
S4 0.500 0.500 0.000
S5 0.828 0.828 0.678
S6 0.834 0.834 0.142
# Energy above the lowest structure with this stoichiometry ... 0 meV per atom
# Final energy ... -5.146 eV/atom



[12]
# SmYTl2Cd2, relaxed, DFT PBE-GGA
data_SmYTl2Cd2
_symmetry_space_group_name_H-M 'P 1'
_symmetry_Int_Tables_number 1
_cell_length_a 4.914
_cell_length_b 4.914
_cell_length_c 7.552
_cell_angle_alpha 90.00
_cell_angle_beta 90.00
_cell_angle_gamma 120.00
loop_
_symmetry_equiv_pos_as_xyz
'x,y,z'
loop_
_atom_site_label
_atom_site_fract_x
_atom_site_fract_y
_atom_site_fract_z
Sm1 0.000 0.000 0.000
Y1 0.000 0.000 0.500
Tl1 0.333 0.667 0.209
Tl2 0.667 0.333 0.704
Cd1 0.333 0.667 0.788
Cd2 0.667 0.333 0.293
# Final energy ... -3.294 eV/atom